YLuZnPb | PBE | optimized geometry

Summary:
calculated formation energy	-0.34	eV/atom
DOS(E_F)	0.70	states/eV per atom
E	-69.284	eV for the cell shown

Geometry as CIF:
```
data_YLuZnPb
_symmetry_space_group_name_H-M 'F -4 3 m'
_symmetry_Int_Tables_number 216
_symmetry_space_group_name_Hall 'F -4 2 3'
_cell_length_a 7.3515
_cell_length_b 7.3515
_cell_length_c 7.3515
_cell_angle_alpha 90.00
_cell_angle_beta 90.00
_cell_angle_gamma 90.00
loop_
_atom_site_label
_atom_site_fract_x
_atom_site_fract_y
_atom_site_fract_z
_atom_site_occupancy
Y1 0.0000 0.0000 0.0000 1
Lu1 0.0000 0.0000 0.5000 1
Zn1 0.2500 0.2500 0.2500 1
Pb1 0.2500 0.2500 0.7500 1
```

SmCdPd | PBE | optimized geometry

Summary:
calculated formation energy	-0.66	eV/atom
DOS(E_F)	0.82	states/eV per atom
E	-76.772	eV for the cell shown

Geometry as CIF:
```
data_SmCdPd
_symmetry_space_group_name_H-M 'P m m a'
_symmetry_Int_Tables_number 51
_symmetry_space_group_name_Hall '-P 2a 2a'
_cell_length_a 13.4592
_cell_length_b 3.9487
_cell_length_c 7.7879
_cell_angle_alpha 90.00
_cell_angle_beta 90.00
_cell_angle_gamma 90.00
loop_
_atom_site_label
_atom_site_fract_x
_atom_site_fract_y
_atom_site_fract_z
_atom_site_occupancy
Sm1 0.0467 0.0000 0.2329 1
Sm2 0.2500 0.0000 0.8375 1
Cd1 0.1135 0.5000 0.5655 1
Cd2 0.2500 0.5000 0.1936 1
Pd1 0.0967 0.5000 0.9378 1
Pd2 0.2500 0.0000 0.4482 1
```

Number 2 is which compound?
SmCdPd

Which of these has the highest E?
YLuZnPb

Among the records above, which one has the highest DOS(E_F)?
SmCdPd